A relaxed BaNb2NiF crystal. Source: Alexandria via LeMat-Bulk, functional GGA+U.

a b c (Å): 4.5181 4.5181 6.8981
angles (deg): 90.00 90.00 90.00
Last column: nearest neighbours and their distance in Å.
Atoms (fractional coordinates):
Ba 0.0000 0.0000 0.0000  4 F 3.19, 2 Ni 3.45
Nb 0.0000 0.5000 0.5000  2 Ni 2.26
Nb 0.5000 0.0000 0.5000  2 Ni 2.26
Ni 0.0000 0.0000 0.5000  4 Nb 2.26
F 0.5000 0.5000 0.0000  4 Ba 3.19

Results
The calculation puts the total energy at -4.775 eV per atom. Its density of states at the Fermi level is 1.038 states/eV per atom. The total magnetic moment is 0.7399 μB/atom. Its symmetry is P4/mmm, No. 123.